Version i
This record from the Alexandria database describes a relaxed structure of SrBe3Te. The functional is PBE-GGA.

Computed properties:
- Fermi-level density of states: 1.92 states/eV/cell
- Total magnetic moment: 0.0 μB per formula unit
- Calculated volume: 32.65 Å³/atom
- Crystal system: cubic

Lattice parameters (Å, degrees): 5.466 5.466 5.466 90.00 90.00 90.00
Element x y z (fractional)
Sr (0.000, 0.000, 0.000)
Be (0.000, 0.000, 0.500)
Be (0.000, 0.500, 0.000)
Be (0.500, 0.000, 0.000)
Te (0.500, 0.500, 0.500)

Version ii
This record from the Alexandria database describes a relaxed structure of SrBe3Te. The functional is PBE-GGA.

Computed properties:
- Fermi-level density of states: 5.04 states/eV/cell
- Total magnetic moment: 0.0 μB per formula unit
- Calculated volume: 23.69 Å³/atom
- Crystal system: cubic

Lattice parameters (Å, degrees): 4.911 4.911 4.911 90.00 90.00 90.00
Element x y z (fractional)
Sr (0.000, 0.000, 0.000)
Be (0.000, 0.500, 0.500)
Be (0.500, 0.000, 0.500)
Be (0.500, 0.500, 0.000)
Te (0.500, 0.500, 0.500)

Which of them is the most stable, and which is the least stable? version ii and version i, in that order.

Version i
This record from the Alexandria database describes a relaxed structure of SrTiBe3. The functional is PBE-GGA.

Computed properties:
- Fermi-level density of states: 4.19 states/eV/cell
- Total magnetic moment: 3.2 μB per formula unit
- Calculated volume: 21.14 Å³/atom
- Crystal system: cubic

Lattice parameters (Å, degrees): 4.728 4.728 4.728 90.00 90.00 90.00
Element x y z (fractional)
Sr (0.000, 0.000, 0.000)
Ti (0.500, 0.500, 0.500)
Be (0.000, 0.500, 0.500)
Be (0.500, 0.000, 0.500)
Be (0.500, 0.500, 0.000)

Version ii
This record from the Alexandria database describes a relaxed structure of SrTiBe3. The functional is PBE-GGA.

Computed properties:
- Fermi-level density of states: 3.28 states/eV/cell
- Total magnetic moment: 0.8 μB per formula unit
- Calculated volume: 20.82 Å³/atom
- Crystal system: cubic

Lattice parameters (Å, degrees): 4.704 4.704 4.704 90.00 90.00 90.00
Element x y z (fractional)
Sr (0.000, 0.000, 0.000)
Ti (0.500, 0.500, 0.500)
Be (0.000, 0.000, 0.500)
Be (0.000, 0.500, 0.000)
Be (0.500, 0.000, 0.000)

Which of them is the most stable, and which is the least stable? version i and version ii, in that order.

Version i
This record from the Alexandria database describes a relaxed structure of SrTi3Be. The functional is PBE-GGA.

Computed properties:
- Fermi-level density of states: 4.97 states/eV/cell
- Total magnetic moment: 1.4 μB per formula unit
- Calculated volume: 20.69 Å³/atom
- Crystal system: cubic

Lattice parameters (Å, degrees): 4.694 4.694 4.694 90.00 90.00 90.00
Element x y z (fractional)
Sr (0.000, 0.000, 0.000)
Ti (0.000, 0.000, 0.500)
Ti (0.000, 0.500, 0.000)
Ti (0.500, 0.000, 0.000)
Be (0.500, 0.500, 0.500)

Version ii
This record from the Alexandria database describes a relaxed structure of SrTi3Be. The functional is PBE-GGA.

Computed properties:
- Fermi-level density of states: 10.27 states/eV/cell
- Total magnetic moment: 1.1 μB per formula unit
- Calculated volume: 20.94 Å³/atom
- Crystal system: cubic

Lattice parameters (Å, degrees): 4.713 4.713 4.713 90.00 90.00 90.00
Element x y z (fractional)
Sr (0.000, 0.000, 0.000)
Ti (0.000, 0.500, 0.500)
Ti (0.500, 0.000, 0.500)
Ti (0.500, 0.500, 0.000)
Be (0.500, 0.500, 0.500)

Which of them is the most stable, and which is the least stable? version ii and version i, in that order.

Version i
This record from the Alexandria database describes a relaxed structure of Sr2BeTl. The functional is PBE-GGA.

Computed properties:
- Fermi-level density of states: 3.05 states/eV/cell
- Total magnetic moment: 0.0 μB per formula unit
- Calculated volume: 30.55 Å³/atom
- Crystal system: orthorhombic

Lattice parameters (Å, degrees): 3.836 3.909 8.149 90.00 90.00 90.00
Element x y z (fractional)
Sr (0.000, 0.000, 0.225)
Sr (0.000, 0.000, 0.775)
Be (0.500, 0.500, 0.000)
Tl (0.500, 0.500, 0.500)

Version ii
This record from the Alexandria database describes a relaxed structure of Sr2BeTl. The functional is PBE-GGA.

Computed properties:
- Fermi-level density of states: 9.14 states/eV/cell
- Total magnetic moment: 0.0 μB per formula unit
- Calculated volume: 35.67 Å³/atom
- Crystal system: trigonal

Lattice parameters (Å, degrees): 4.444 4.444 25.024 90.00 90.00 120.00
Element x y z (fractional)
Sr (0.000, 0.000, 0.000)
Sr (0.000, 0.000, 0.179)
Sr (0.333, 0.667, 0.667)
Sr (0.333, 0.667, 0.846)
Sr (0.667, 0.333, 0.333)
Sr (0.667, 0.333, 0.512)
Be (0.000, 0.000, 0.757)
Be (0.333, 0.667, 0.423)
Be (0.667, 0.333, 0.090)
Tl (0.000, 0.000, 0.423)
Tl (0.333, 0.667, 0.089)
Tl (0.667, 0.333, 0.756)

Which of them is the most stable, and which is the least stable? version ii and version i, in that order.

Version i
This record from the Alexandria database describes a relaxed structure of Sr2BeTl. The functional is PBE-GGA.

Computed properties:
- Fermi-level density of states: 12.92 states/eV/cell
- Total magnetic moment: 0.1 μB per formula unit
- Calculated volume: 35.07 Å³/atom
- Crystal system: trigonal

Lattice parameters (Å, degrees): 4.163 4.163 28.036 90.00 90.00 120.00
Element x y z (fractional)
Sr (0.000, 0.000, 0.240)
Sr (0.000, 0.000, 0.760)
Sr (0.333, 0.667, 0.427)
Sr (0.333, 0.667, 0.906)
Sr (0.667, 0.333, 0.094)
Sr (0.667, 0.333, 0.573)
Be (0.000, 0.000, 0.500)
Be (0.333, 0.667, 0.167)
Be (0.667, 0.333, 0.833)
Tl (0.000, 0.000, 0.000)
Tl (0.333, 0.667, 0.667)
Tl (0.667, 0.333, 0.333)

Version ii
This record from the Alexandria database describes a relaxed structure of Sr2BeTl. The functional is PBE-GGA.

Computed properties:
- Fermi-level density of states: 8.10 states/eV/cell
- Total magnetic moment: 0.0 μB per formula unit
- Calculated volume: 32.71 Å³/atom
- Crystal system: orthorhombic

Lattice parameters (Å, degrees): 5.234 5.456 9.164 90.00 90.00 90.00
Element x y z (fractional)
Sr (0.000, 0.000, 0.000)
Sr (0.000, 0.500, 0.390)
Sr (0.500, 0.000, 0.390)
Sr (0.500, 0.500, 0.000)
Be (0.000, 0.000, 0.607)
Be (0.500, 0.500, 0.607)
Tl (0.000, 0.500, 0.751)
Tl (0.500, 0.000, 0.751)

Which of them is the most stable, and which is the least stable? version ii and version i, in that order.

Version i
This record from the Alexandria database describes a relaxed structure of Sr2BeTl. The functional is PBE-GGA.

Computed properties:
- Fermi-level density of states: 7.26 states/eV/cell
- Total magnetic moment: 0.0 μB per formula unit
- Calculated volume: 29.25 Å³/atom
- Crystal system: cubic

Lattice parameters (Å, degrees): 7.764 7.764 7.764 90.00 90.00 90.00
Element x y z (fractional)
Sr (0.000, 0.000, 0.000)
Sr (0.000, 0.500, 0.500)
Sr (0.250, 0.250, 0.250)
Sr (0.250, 0.750, 0.750)
Sr (0.500, 0.000, 0.500)
Sr (0.500, 0.500, 0.000)
Sr (0.750, 0.250, 0.750)
Sr (0.750, 0.750, 0.250)
Be (0.250, 0.250, 0.750)
Be (0.250, 0.750, 0.250)
Be (0.750, 0.250, 0.250)
Be (0.750, 0.750, 0.750)
Tl (0.000, 0.000, 0.500)
Tl (0.000, 0.500, 0.000)
Tl (0.500, 0.000, 0.000)
Tl (0.500, 0.500, 0.500)

Version ii
This record from the Alexandria database describes a relaxed structure of Sr2BeTl. The functional is PBE-GGA.

Computed properties:
- Fermi-level density of states: 3.63 states/eV/cell
- Total magnetic moment: 0.0 μB per formula unit
- Calculated volume: 29.83 Å³/atom
- Crystal system: monoclinic

Lattice parameters (Å, degrees): 12.718 3.770 5.521 90.00 115.64 90.00
Element x y z (fractional)
Sr (0.000, 0.000, 0.000)
Sr (0.193, 0.000, 0.693)
Sr (0.500, 0.500, 0.000)
Sr (0.693, 0.500, 0.693)
Be (0.453, 0.000, 0.454)
Be (0.953, 0.500, 0.454)
Tl (0.291, 0.500, 0.290)
Tl (0.791, 0.000, 0.290)

Which of them is the most stable, and which is the least stable? version ii and version i, in that order.